Record 1
Entry from the Alexandria database: an optimized crystal structure of Be3In (GGA-PBE).

Results
ΔH_f (0 K) = 0.5270 eV per atom
E above lowest polymorph = 1.18 eV per formula unit

a b c (Å): 2.803 2.803 6.638
angles (deg): 90.00 90.00 90.00
Fractional positions:
Be (0.000, 0.000, 0.000)
Be (0.500, 0.500, 0.169)
Be (0.500, 0.500, 0.831)
In (0.000, 0.000, 0.500)

***

Record 2
Entry from the Alexandria database: an optimized crystal structure of Na4SCl2 (GGA-PBE).

Results
formation energy (no corrections) = -1337 meV/atom

a b c (Å): 8.257 8.257 8.257
angles (deg): 143.32 143.32 52.85
Fractional positions:
Na (0.000, 0.500, 0.500)
Na (0.178, 0.178, 0.000)
Na (0.500, 0.000, 0.500)
Na (0.822, 0.822, 0.000)
S (0.000, 0.000, 0.000)
Cl (0.355, 0.355, 0.000)
Cl (0.645, 0.645, 0.000)

***

Record 3
Entry from the Alexandria database: an optimized crystal structure of Ti2Al5NiPd2 (GGA-PBE).

Results
ΔH_f (0 K) = -0.4999 eV per atom

a b c (Å): 10.268 10.268 2.952
angles (deg): 90.00 90.00 90.00
Fractional positions:
Ti (0.177, 0.323, 0.000)
Ti (0.323, 0.823, 0.000)
Ti (0.677, 0.177, 0.000)
Ti (0.823, 0.677, 0.000)
Al (0.000, 0.500, 0.500)
Al (0.035, 0.809, 0.500)
Al (0.191, 0.035, 0.500)
Al (0.309, 0.535, 0.500)
Al (0.465, 0.309, 0.500)
Al (0.500, 0.000, 0.500)
Al (0.535, 0.691, 0.500)
Al (0.691, 0.465, 0.500)
Al (0.809, 0.965, 0.500)
Al (0.965, 0.191, 0.500)
Ni (0.000, 0.000, 0.000)
Ni (0.500, 0.500, 0.000)
Pd (0.138, 0.638, 0.000)
Pd (0.362, 0.138, 0.000)
Pd (0.638, 0.862, 0.000)
Pd (0.862, 0.362, 0.000)

***

Record 4
Entry from the Alexandria database: an optimized crystal structure of TbDy3Th3 (GGA-PBE).

Results
ΔH_f (0 K) = 0.0542 eV per atom

a b c (Å): 9.503 9.503 5.802
angles (deg): 90.00 90.00 120.00
Fractional positions:
Tb (0.333, 0.667, 0.250)
Tb (0.667, 0.333, 0.750)
Dy (0.043, 0.239, 0.250)
Dy (0.195, 0.957, 0.250)
Dy (0.239, 0.195, 0.750)
Dy (0.761, 0.805, 0.250)
Dy (0.805, 0.043, 0.750)
Dy (0.957, 0.761, 0.750)
Th (0.103, 0.485, 0.750)
Th (0.383, 0.897, 0.750)
Th (0.485, 0.383, 0.250)
Th (0.515, 0.617, 0.750)
Th (0.617, 0.103, 0.250)
Th (0.897, 0.515, 0.250)

***

Record 5
Entry from the Alexandria database: an optimized crystal structure of K2CuW2 (GGA-PBE).

Results
ΔH_f (0 K) = 1.1159 eV per atom
E above lowest polymorph = 0.00 eV per formula unit

a b c (Å): 11.332 11.332 11.332
angles (deg): 161.76 161.76 25.90
Fractional positions:
K (0.101, 0.101, 0.000)
K (0.899, 0.899, 0.000)
Cu (0.500, 0.500, 0.000)
W (0.250, 0.750, 0.500)
W (0.750, 0.250, 0.500)

***

Record 6
Entry from the Alexandria database: an optimized crystal structure of TcPdO2F (GGA-PBE).

Results
formation energy (no corrections) = -735 meV/atom

a b c (Å): 3.829 3.829 4.268
angles (deg): 90.00 90.00 90.00
Fractional positions:
Tc (0.000, 0.000, 0.000)
Pd (0.500, 0.500, 0.500)
O (0.000, 0.500, 0.000)
O (0.500, 0.000, 0.000)
F (0.000, 0.000, 0.500)

***

Record 7
Entry from the Alexandria database: an optimized crystal structure of SiAu (GGA-PBE).

Results
formation energy (no corrections) = 92 meV/atom

a b c (Å): 6.000 6.000 7.983
angles (deg): 114.54 114.54 26.87
Fractional positions:
Si (0.000, 0.000, 0.000)
Si (0.028, 0.028, 0.309)
Si (0.718, 0.718, 0.475)
Au (0.310, 0.310, 0.780)
Au (0.362, 0.362, 0.361)
Au (0.660, 0.660, 0.948)

***

Record 8
Entry from the Alexandria database: an optimized crystal structure of GaTeIrN2 (GGA-PBE).

Results
formation energy (no corrections) = 1559 meV/atom
E above lowest polymorph = 3.85 eV per formula unit

a b c (Å): 3.745 3.745 7.880
angles (deg): 90.00 90.00 90.00
Fractional positions:
Ga (0.000, 0.000, 0.000)
Te (0.000, 0.000, 0.500)
Ir (0.500, 0.500, 0.500)
N (0.000, 0.500, 0.000)
N (0.500, 0.000, 0.000)